# PBE KTl2AuCl, relaxed
# Uncorrected formation energy: -0.42 eV per atom
data_KTl2AuCl
_cell_length_a 5.568
_cell_length_b 6.340
_cell_length_c 5.568
_cell_angle_alpha 90.00
_cell_angle_beta 90.00
_cell_angle_gamma 90.00
_space_group_name_H-M_alt 'P 1'
_space_group_IT_number 1
loop_
_space_group_symop_operation_xyz
'x,y,z'
loop_
_atom_site_label
_atom_site_fract_x
_atom_site_fract_y
_atom_site_fract_z
_atom_site_occupancy
Tl1 0.000 0.000 0.500 1
Tl2 0.500 0.000 0.000 1
Au1 0.000 0.000 0.000 1
K1 0.000 0.500 0.000 1
Cl1 0.500 0.500 0.500 1



# PBE OsRu, relaxed
# Formation energy: 0.096 eV per atom
data_OsRu
_cell_length_a 2.731
_cell_length_b 2.731
_cell_length_c 8.756
_cell_angle_alpha 90.00
_cell_angle_beta 90.00
_cell_angle_gamma 120.00
_space_group_name_H-M_alt 'P 1'
_space_group_IT_number 1
loop_
_space_group_symop_operation_xyz
'x,y,z'
loop_
_atom_site_label
_atom_site_fract_x
_atom_site_fract_y
_atom_site_fract_z
_atom_site_occupancy
Os1 0.000 0.000 0.000 1
Os2 0.000 0.000 0.500 1
Ru1 0.333 0.667 0.250 1
Ru2 0.667 0.333 0.750 1



# PBE Pu4SiGe2, relaxed
# Uncorrected formation energy: -0.12 eV per atom
# Excess energy over the best structure of this formula in the dataset: 0.000 eV/atom
data_Pu4SiGe2
_cell_length_a 5.528
_cell_length_b 5.528
_cell_length_c 6.844
_cell_angle_alpha 113.82
_cell_angle_beta 113.82
_cell_angle_gamma 90.00
_space_group_name_H-M_alt 'P 1'
_space_group_IT_number 1
loop_
_space_group_symop_operation_xyz
'x,y,z'
loop_
_atom_site_label
_atom_site_fract_x
_atom_site_fract_y
_atom_site_fract_z
_atom_site_occupancy
Pu1 0.750 0.250 0.500 1
Pu2 0.250 0.750 0.500 1
Pu3 0.500 0.000 0.000 1
Pu4 0.000 0.500 0.000 1
Si1 0.000 0.000 0.000 1
Ge1 0.620 0.620 0.239 1
Ge2 0.380 0.380 0.761 1



# PBE Na2ZnCd3Sn4, relaxed
# Formation energy: -0.068 eV per atom
data_Na2ZnCd3Sn4
_cell_length_a 4.590
_cell_length_b 4.590
_cell_length_c 12.923
_cell_angle_alpha 90.00
_cell_angle_beta 90.00
_cell_angle_gamma 90.00
_space_group_name_H-M_alt 'P 1'
_space_group_IT_number 1
loop_
_space_group_symop_operation_xyz
'x,y,z'
loop_
_atom_site_label
_atom_site_fract_x
_atom_site_fract_y
_atom_site_fract_z
_atom_site_occupancy
Na1 0.500 0.000 0.267 1
Na2 0.000 0.500 0.733 1
Zn1 0.500 0.500 0.500 1
Cd1 0.000 0.000 0.500 1
Cd2 0.500 0.000 0.848 1
Cd3 0.000 0.500 0.152 1
Sn1 0.500 0.500 0.000 1
Sn2 0.000 0.000 0.000 1
Sn3 0.500 0.000 0.633 1
Sn4 0.000 0.500 0.367 1



# PBE TaHgRu2, relaxed
# Formation energy: 0.519 eV per atom
data_TaHgRu2
_cell_length_a 4.555
_cell_length_b 4.555
_cell_length_c 4.555
_cell_angle_alpha 60.00
_cell_angle_beta 60.00
_cell_angle_gamma 60.00
_space_group_name_H-M_alt 'P 1'
_space_group_IT_number 1
loop_
_space_group_symop_operation_xyz
'x,y,z'
loop_
_atom_site_label
_atom_site_fract_x
_atom_site_fract_y
_atom_site_fract_z
_atom_site_occupancy
Hg1 0.500 0.500 0.500 1
Ru1 0.000 0.000 0.000 1
Ru2 0.250 0.250 0.250 1
Ta1 0.750 0.750 0.750 1



# PBE LiCdAuO2, relaxed
# Uncorrected formation energy: -0.88 eV per atom
data_LiCdAuO2
_cell_length_a 6.035
_cell_length_b 4.831
_cell_length_c 6.460
_cell_angle_alpha 78.33
_cell_angle_beta 90.00
_cell_angle_gamma 90.00
_space_group_name_H-M_alt 'P 1'
_space_group_IT_number 1
loop_
_space_group_symop_operation_xyz
'x,y,z'
loop_
_atom_site_label
_atom_site_fract_x
_atom_site_fract_y
_atom_site_fract_z
_atom_site_occupancy
Li1 0.191 0.500 0.750 1
Li2 0.809 0.500 0.250 1
Cd1 0.469 0.000 0.250 1
Cd2 0.531 0.000 0.750 1
Au1 0.000 0.000 0.000 1
Au2 0.000 0.000 0.500 1
O1 0.700 0.796 0.047 1
O2 0.700 0.204 0.453 1
O3 0.300 0.796 0.547 1
O4 0.300 0.204 0.953 1



# PBE Na2VAs, relaxed
# Formation energy: 0.233 eV per atom
data_Na2VAs
_cell_length_a 10.959
_cell_length_b 10.959
_cell_length_c 8.122
_cell_angle_alpha 47.57
_cell_angle_beta 47.57
_cell_angle_gamma 90.00
_space_group_name_H-M_alt 'P 1'
_space_group_IT_number 1
loop_
_space_group_symop_operation_xyz
'x,y,z'
loop_
_atom_site_label
_atom_site_fract_x
_atom_site_fract_y
_atom_site_fract_z
_atom_site_occupancy
Na1 0.808 0.125 0.250 1
Na2 0.942 0.625 0.250 1
Na3 0.375 0.192 0.750 1
Na4 0.875 0.058 0.750 1
As1 0.000 0.000 0.000 1
As2 0.750 0.250 0.500 1
V1 0.500 0.500 0.000 1
V2 0.250 0.750 0.500 1



# PBE HgPNF2, relaxed
# Uncorrected formation energy: 0.70 eV per atom
# Excess energy over the best structure of this formula in the dataset: 1.046 eV/atom
data_HgPNF2
_cell_length_a 4.487
_cell_length_b 4.487
_cell_length_c 4.363
_cell_angle_alpha 90.00
_cell_angle_beta 90.00
_cell_angle_gamma 90.00
_space_group_name_H-M_alt 'P 1'
_space_group_IT_number 1
loop_
_space_group_symop_operation_xyz
'x,y,z'
loop_
_atom_site_label
_atom_site_fract_x
_atom_site_fract_y
_atom_site_fract_z
_atom_site_occupancy
P1 0.500 0.500 0.500 1
N1 0.000 0.000 0.500 1
Hg1 0.000 0.000 0.000 1
F1 0.000 0.500 0.000 1
F2 0.500 0.000 0.000 1